(1)
A geometry-optimized Sn2SI2 structure, computed with PBE.

Properties
ΔE to the lowest computed polymorph in meV per atom: 32
Raw total energy in eV/atom: -3.4448

Lattice parameters (Å, degrees): 4.237 6.391 16.635 107.09 90.00 90.00
Positions (direct):
Sn 0.250 0.998 0.905
I 0.250 0.422 0.730
Sn 0.750 0.322 0.593
I 0.750 0.807 0.574
Sn 0.750 0.002 0.095
S 0.750 0.776 0.937
I 0.750 0.578 0.270
S 0.250 0.224 0.063
Sn 0.250 0.678 0.407
I 0.250 0.193 0.426

(2)
A geometry-optimized AlSi2Te6 structure, computed with PBE.

Properties
ΔE to the lowest computed polymorph in meV per atom: 0
Raw total energy in eV/atom: -3.7940

Lattice parameters (Å, degrees): 7.473 9.715 9.715 82.99 76.17 76.17
Positions (direct):
Te 0.857 0.210 0.990
Te 0.056 0.661 0.626
Te 0.444 0.374 0.339
Te 0.791 0.951 0.332
Te 0.556 0.626 0.661
Te 0.944 0.339 0.374
Si 0.265 0.258 0.213
Si 0.765 0.213 0.258
Te 0.291 0.332 0.951
Al 0.250 0.058 0.942
Si 0.235 0.787 0.742
Te 0.143 0.790 0.010
Te 0.209 0.049 0.668
Te 0.709 0.668 0.049
Te 0.357 0.990 0.210
Si 0.735 0.742 0.787
Te 0.643 0.010 0.790
Al 0.750 0.942 0.058

(3)
A geometry-optimized Zn2GaCl structure, computed with PBE.

Properties
ΔE to the lowest computed polymorph in meV per atom: 0
Raw total energy in eV/atom: -1.9362

Lattice parameters (Å, degrees): 6.274 6.274 6.869 62.83 62.83 90.00
Positions (direct):
Zn 0.875 0.892 0.750
Cl 0.500 0.500 0.000
Zn 0.108 0.625 0.250
Ga 0.750 0.250 0.500
Zn 0.642 0.125 0.250
Zn 0.375 0.358 0.750
Ga 0.000 0.000 0.000
Cl 0.250 0.750 0.500

(4)
A geometry-optimized LaNdDyAg structure, computed with PBE.

Properties
Calculated formation energy in eV/atom: 0.06
ΔE to the lowest computed polymorph in meV per atom: 174
Raw total energy in eV/atom: -4.2320

Lattice parameters (Å, degrees): 5.533 5.533 5.533 60.00 60.00 60.00
Positions (direct):
Dy 0.750 0.750 0.750
Ag 0.250 0.250 0.250
La 0.500 0.500 0.500
Nd 0.000 0.000 0.000

(5)
A geometry-optimized MnCd2In structure, computed with PBE.

Properties
Calculated formation energy in eV/atom: 0.21
Raw total energy in eV/atom: -3.2201

Lattice parameters (Å, degrees): 3.213 4.281 6.072 90.00 90.00 90.00
Site moments in Bohr magnetons follow the coordinates.
Positions (direct):
Cd 0.000 0.000 0.517  -0.03
Mn 0.500 0.500 0.750  3.73
Cd 0.000 0.000 0.983  -0.03
In 0.500 0.500 0.250  -0.03

(6)
A geometry-optimized ZrCd2Os structure, computed with PBE.

Properties
Calculated formation energy in eV/atom: 0.20
ΔE to the lowest computed polymorph in meV per atom: 209
Raw total energy in eV/atom: -5.1999

Lattice parameters (Å, degrees): 4.894 2.919 5.527 75.23 90.00 90.00
Site moments in Bohr magnetons follow the coordinates.
Positions (direct):
Cd 0.000 0.089 0.014  0.00
Os 0.500 0.250 0.250  0.41
Cd 0.000 0.411 0.486  0.00
Zr 0.500 0.750 0.750  -0.02